[1]
Material: Ca3Ce2TmAs6
Method: DFT, PBE
State: relaxed

The structure in CIF format:
```
data_Ca3Ce2TmAs6
_space_group_name_H-M_alt 'C 1 2/m 1'
_space_group_IT_number 12
_space_group_name_Hall '-C 2y'
_cell_length_a 7.3078
_cell_length_b 12.6645
_cell_length_c 7.2468
_cell_angle_alpha 90.00
_cell_angle_beta 109.66
_cell_angle_gamma 90.00
loop_
_atom_site_label
_atom_site_fract_x
_atom_site_fract_y
_atom_site_fract_z
Ca1 0.0000 0.0000 0.0000
Ca2 0.0000 0.3333 0.0000
Ce1 0.0000 0.1665 0.5000
Tm1 0.0000 0.5000 0.5000
As1 0.2439 0.3340 0.7343
As2 0.2465 0.0000 0.7350
```

Properties
Fermi-level density of states = 0.922 states/eV/atom
ΔH_f (0 K) = -15.09 eV per formula unit

=====

[2]
Material: CaCeTm2As4
Method: DFT, PBE
State: relaxed

The structure in CIF format:
```
data_CaCeTm2As4
_space_group_name_H-M_alt 'P 1 2/m 1'
_space_group_IT_number 10
_space_group_name_Hall '-P 2y'
_cell_length_a 7.1369
_cell_length_b 4.1504
_cell_length_c 7.1773
_cell_angle_alpha 90.00
_cell_angle_beta 109.05
_cell_angle_gamma 90.00
loop_
_atom_site_label
_atom_site_fract_x
_atom_site_fract_y
_atom_site_fract_z
Ca1 0.0000 0.0000 0.0000
Ce1 0.5000 0.5000 0.0000
Tm1 0.0000 0.5000 0.5000
Tm2 0.5000 0.0000 0.5000
As1 0.2509 0.0000 0.7430
As2 0.2592 0.5000 0.2585
```

Properties
Fermi-level density of states = 0.197 states/eV/atom
ΔH_f (0 K) = -11.08 eV per formula unit

=====

[3]
Material: Ca2CeTmAs4
Method: DFT, PBE
State: relaxed

The structure in CIF format:
```
data_Ca2CeTmAs4
_space_group_name_H-M_alt 'P 1 2/m 1'
_space_group_IT_number 10
_space_group_name_Hall '-P 2y'
_cell_length_a 7.2463
_cell_length_b 4.2105
_cell_length_c 7.2647
_cell_angle_alpha 90.00
_cell_angle_beta 109.65
_cell_angle_gamma 90.00
loop_
_atom_site_label
_atom_site_fract_x
_atom_site_fract_y
_atom_site_fract_z
Ca1 0.0000 0.0000 0.0000
Ca2 0.5000 0.5000 0.0000
Ce1 0.0000 0.5000 0.5000
Tm1 0.5000 0.0000 0.5000
As1 0.2472 0.0000 0.7347
As2 0.2577 0.5000 0.2660
```

Properties
Fermi-level density of states = 0.913 states/eV/atom
ΔH_f (0 K) = -9.90 eV per formula unit

=====

[4]
Material: Ca3Ce2UAs6
Method: DFT, PBE
State: relaxed

The structure in CIF format:
```
data_Ca3Ce2UAs6
_space_group_name_H-M_alt 'C 1 2/m 1'
_space_group_IT_number 12
_space_group_name_Hall '-C 2y'
_cell_length_a 7.3421
_cell_length_b 12.7147
_cell_length_c 7.2509
_cell_angle_alpha 90.00
_cell_angle_beta 109.75
_cell_angle_gamma 90.00
loop_
_atom_site_label
_atom_site_fract_x
_atom_site_fract_y
_atom_site_fract_z
Ca1 0.0000 0.0000 0.0000
Ca2 0.0000 0.3313 0.0000
Ce1 0.0000 0.1664 0.5000
U1 0.0000 0.5000 0.5000
As1 0.2391 0.3384 0.7330
As2 0.2450 0.5000 0.2682
```

Properties
Fermi-level density of states = 0.954 states/eV/atom
ΔH_f (0 K) = -14.34 eV per formula unit

=====

[5]
Material: Ca2CeUAs4
Method: DFT, PBE
State: relaxed

The structure in CIF format:
```
data_Ca2CeUAs4
_space_group_name_H-M_alt 'P 1 2/m 1'
_space_group_IT_number 10
_space_group_name_Hall '-P 2y'
_cell_length_a 7.2497
_cell_length_b 4.2152
_cell_length_c 7.3206
_cell_angle_alpha 90.00
_cell_angle_beta 109.54
_cell_angle_gamma 90.00
loop_
_atom_site_label
_atom_site_fract_x
_atom_site_fract_y
_atom_site_fract_z
Ca1 0.0000 0.0000 0.0000
Ca2 0.0000 0.5000 0.5000
Ce1 0.5000 0.0000 0.5000
U1 0.5000 0.5000 0.0000
As1 0.2670 0.5000 0.2473
As2 0.2691 0.0000 0.7632
```

Properties
Fermi-level density of states = 1.232 states/eV/atom
ΔH_f (0 K) = -9.08 eV per formula unit

=====

[6]
Material: CaCe2UAs4
Method: DFT, PBE
State: relaxed

The structure in CIF format:
```
data_CaCe2UAs4
_space_group_name_H-M_alt 'P 1 2/m 1'
_space_group_IT_number 10
_space_group_name_Hall '-P 2y'
_cell_length_a 7.2289
_cell_length_b 4.1854
_cell_length_c 7.2874
_cell_angle_alpha 90.00
_cell_angle_beta 109.30
_cell_angle_gamma 90.00
loop_
_atom_site_label
_atom_site_fract_x
_atom_site_fract_y
_atom_site_fract_z
Ca1 0.0000 0.0000 0.0000
Ce1 0.5000 0.0000 0.5000
Ce2 0.5000 0.5000 0.0000
U1 0.0000 0.5000 0.5000
As1 0.2440 0.0000 0.7414
As2 0.2501 0.5000 0.2598
```

Properties
Fermi-level density of states = 2.095 states/eV/atom
ΔH_f (0 K) = -9.43 eV per formula unit

=====

[7]
Material: CaCeU2As4
Method: DFT, PBE
State: relaxed

The structure in CIF format:
```
data_CaCeU2As4
_space_group_name_H-M_alt 'I -4 m 2'
_space_group_IT_number 119
_space_group_name_Hall 'I -4 -2'
_cell_length_a 5.8695
_cell_length_b 5.8695
_cell_length_c 11.7786
_cell_angle_alpha 90.00
_cell_angle_beta 90.00
_cell_angle_gamma 90.00
loop_
_atom_site_label
_atom_site_fract_x
_atom_site_fract_y
_atom_site_fract_z
Ca1 0.0000 0.0000 0.0000
Ce1 0.0000 0.5000 0.7500
U1 0.0000 0.0000 0.5000
U2 0.0000 0.5000 0.2500
As1 0.0000 0.0000 0.2573
As2 0.0000 0.5000 0.0048
```

Properties
Fermi-level density of states = 2.549 states/eV/atom
ΔH_f (0 K) = -7.98 eV per formula unit

=====

[8]
Material: Ca3Ce2YAs6
Method: DFT, PBE
State: relaxed

The structure in CIF format:
```
data_Ca3Ce2YAs6
_space_group_name_H-M_alt 'C 1 2/m 1'
_space_group_IT_number 12
_space_group_name_Hall '-C 2y'
_cell_length_a 7.3345
_cell_length_b 12.7107
_cell_length_c 7.2524
_cell_angle_alpha 90.00
_cell_angle_beta 109.71
_cell_angle_gamma 90.00
loop_
_atom_site_label
_atom_site_fract_x
_atom_site_fract_y
_atom_site_fract_z
Ca1 0.0000 0.0000 0.0000
Ca2 0.0000 0.3341 0.0000
Ce1 0.0000 0.1665 0.5000
Y1 0.0000 0.5000 0.5000
As1 0.2438 0.0000 0.7359
As2 0.2458 0.3326 0.7355
```

Properties
Fermi-level density of states = 0.929 states/eV/atom
ΔH_f (0 K) = -15.21 eV per formula unit

=====

[9]
Material: CaCe2YAs4
Method: DFT, PBE
State: relaxed

The structure in CIF format:
```
data_CaCe2YAs4
_space_group_name_H-M_alt 'P 1 2/m 1'
_space_group_IT_number 10
_space_group_name_Hall '-P 2y'
_cell_length_a 7.2221
_cell_length_b 4.2163
_cell_length_c 7.3168
_cell_angle_alpha 90.00
_cell_angle_beta 109.61
_cell_angle_gamma 90.00
loop_
_atom_site_label
_atom_site_fract_x
_atom_site_fract_y
_atom_site_fract_z
Ca1 0.0000 0.0000 0.0000
Ce1 0.5000 0.0000 0.5000
Ce2 0.5000 0.5000 0.0000
Y1 0.0000 0.5000 0.5000
As1 0.2508 0.0000 0.7457
As2 0.2569 0.5000 0.2575
```

Properties
Fermi-level density of states = 0.996 states/eV/atom
ΔH_f (0 K) = -11.16 eV per formula unit

=====

[10]
Material: Ca2CeYAs4
Method: DFT, PBE
State: relaxed

The structure in CIF format:
```
data_Ca2CeYAs4
_space_group_name_H-M_alt 'P 1 2/m 1'
_space_group_IT_number 10
_space_group_name_Hall '-P 2y'
_cell_length_a 7.2731
_cell_length_b 4.2279
_cell_length_c 7.2927
_cell_angle_alpha 90.00
_cell_angle_beta 109.69
_cell_angle_gamma 90.00
loop_
_atom_site_label
_atom_site_fract_x
_atom_site_fract_y
_atom_site_fract_z
Ca1 0.0000 0.0000 0.0000
Ca2 0.0000 0.5000 0.5000
Ce1 0.5000 0.0000 0.5000
Y1 0.5000 0.5000 0.0000
As1 0.2632 0.0000 0.7540
As2 0.2644 0.5000 0.2551
```

Properties
Fermi-level density of states = 0.932 states/eV/atom
ΔH_f (0 K) = -10.00 eV per formula unit

=====

[11]
Material: Ca3CeZr2As6
Method: DFT, PBE
State: relaxed

The structure in CIF format:
```
data_Ca3CeZr2As6
_space_group_name_H-M_alt 'C 1 2/m 1'
_space_group_IT_number 12
_space_group_name_Hall '-C 2y'
_cell_length_a 7.0403
_cell_length_b 12.2026
_cell_length_c 7.2148
_cell_angle_alpha 90.00
_cell_angle_beta 109.06
_cell_angle_gamma 90.00
loop_
_atom_site_label
_atom_site_fract_x
_atom_site_fract_y
_atom_site_fract_z
Ca1 0.0000 0.0000 0.0000
Ca2 0.0000 0.3358 0.0000
Ce1 0.0000 0.5000 0.5000
Zr1 0.0000 0.1671 0.5000
As1 0.2328 0.0000 0.7278
As2 0.2481 0.3284 0.7290
```

Properties
Fermi-level density of states = 0.022 states/eV/atom
ΔH_f (0 K) = -14.57 eV per formula unit

=====

[12]
Material: Ca2CeZrAs4
Method: DFT, PBE
State: relaxed

The structure in CIF format:
```
data_Ca2CeZrAs4
_space_group_name_H-M_alt 'P 1 2/m 1'
_space_group_IT_number 10
_space_group_name_Hall '-P 2y'
_cell_length_a 7.1233
_cell_length_b 4.1158
_cell_length_c 7.2162
_cell_angle_alpha 90.00
_cell_angle_beta 109.06
_cell_angle_gamma 90.00
loop_
_atom_site_label
_atom_site_fract_x
_atom_site_fract_y
_atom_site_fract_z
Ca1 0.0000 0.0000 0.0000
Ca2 0.5000 0.5000 0.0000
Ce1 0.0000 0.5000 0.5000
Zr1 0.5000 0.0000 0.5000
As1 0.2552 0.0000 0.7316
As2 0.2665 0.5000 0.2723
```

Properties
ΔH_f (0 K) = -9.84 eV per formula unit

=====

[13]
Material: CaAsCl
Method: DFT, PBE
State: relaxed

The structure in CIF format:
```
data_CaAsCl
_space_group_name_H-M_alt 'F -4 3 m'
_space_group_IT_number 216
_space_group_name_Hall 'F -4 2 3'
_cell_length_a 6.9075
_cell_length_b 6.9075
_cell_length_c 6.9075
_cell_angle_alpha 90.00
_cell_angle_beta 90.00
_cell_angle_gamma 90.00
loop_
_atom_site_label
_atom_site_fract_x
_atom_site_fract_y
_atom_site_fract_z
Ca1 0.0000 0.0000 0.0000
As1 0.0000 0.0000 0.5000
Cl1 0.2500 0.2500 0.2500
```

Properties
Fermi-level density of states = 1.105 states/eV/atom
formation energy from raw total energies = -0.47 eV per atom